No. 1
Compound: GdClO
Source: Alexandria via LeMat-Bulk
Functional: PBE
Structure: optimized geometry

a = 3.7375 Å, b = 3.7375 Å, c = 5.4118 Å
α = 90.00°, β = 90.00°, γ = 120.00°
Space group P3m1 (No. 156)
Unique sites:
Gd1 0.0000 0.0000 0.0000
Cl1 0.3333 0.6667 0.6524
O1 0.6667 0.3333 0.1021

**Raw formation energy**: -2.88 eV/atom

=====

No. 2
Compound: GdClO
Source: Alexandria via LeMat-Bulk
Functional: PBE
Structure: optimized geometry

a = 3.961 Å, b = 3.961 Å, c = 6.804 Å
α = 90.00°, β = 90.00°, γ = 90.00°
Space group P4/nmm (No. 129, origin choice 2)
Unique sites:
Gd1 0.250 0.250 0.170
Cl1 0.250 0.250 0.629
O1 0.250 0.750 0.000

**Raw formation energy**: -3.04 eV/atom

=====

No. 3
Compound: GdClO
Source: Alexandria via LeMat-Bulk
Functional: PBE
Structure: optimized geometry

a = 6.097 Å, b = 6.097 Å, c = 6.097 Å
α = 90.00°, β = 90.00°, γ = 90.00°
Space group F-43m (No. 216)
Unique sites:
Gd1 0.000 0.000 0.000
Cl1 0.250 0.250 0.750
O1 0.250 0.250 0.250

**Raw formation energy**: -2.38 eV/atom

=====

No. 4
Compound: GdSeClO3
Source: Alexandria via LeMat-Bulk
Functional: PBE
Structure: optimized geometry

a = 7.465 Å, b = 7.125 Å, c = 8.939 Å
α = 90.00°, β = 90.00°, γ = 90.00°
Space group Pnma (No. 62)
Unique sites:
Gd1 0.106 0.250 0.041
Se1 0.214 0.250 0.632
Cl1 0.062 0.750 0.682
O1 0.140 0.574 0.069
O2 0.250 0.250 0.819

**Raw formation energy**: -2.01 eV/atom

=====

No. 5
Compound: GdTe2ClO5
Source: Alexandria via LeMat-Bulk
Functional: PBE
Structure: optimized geometry

a = 3.945 Å, b = 3.945 Å, c = 8.586 Å
α = 90.00°, β = 90.00°, γ = 90.00°
Space group P4/mmm (No. 123)
Unique sites:
Gd1 0.000 0.000 0.000
Te1 0.500 0.500 0.257
Cl1 0.000 0.000 0.500
O1 0.000 0.500 0.180
O2 0.500 0.500 0.000

**Raw formation energy**: -1.61 eV/atom

=====

Q: What is the raw formation energy in the third record?
A: -2.38 eV/atom

=====

Q: Among the records above, which one has the highest raw formation energy?
A: GdTe2ClO5

=====

Q: Which value of raw formation energy does entry 4 give?
A: -2.01 eV/atom

=====

Q: What is the formula in the second record?
A: GdClO